Arrangement i

Density functional theory data (PBE-GGA) for a geometry-optimized YErMgCu structure.

Output
Volume: 23.63 A^3/atom
Total magnetization: 0.0 μB/f.u.
Crystal system: cubic

Cell and atoms, written as CIF:
```
data_YErMgCu
_cell_length_a 7.231
_cell_length_b 7.231
_cell_length_c 7.231
_cell_angle_alpha 90.00
_cell_angle_beta 90.00
_cell_angle_gamma 90.00
_symmetry_space_group_name_H-M 'F -4 3 m'
_symmetry_Int_Tables_number 216
_symmetry_space_group_name_Hall 'F -4 2 3'
loop_
_atom_site_label
_atom_site_type_symbol
_atom_site_fract_x
_atom_site_fract_y
_atom_site_fract_z
Y1 Y 0.000 0.000 0.000
Er1 Er 0.000 0.000 0.500
Mg1 Mg 0.250 0.250 0.750
Cu1 Cu 0.250 0.250 0.250
```

---

Arrangement ii

Density functional theory data (PBE-GGA) for a geometry-optimized YErMgCu structure.

Output
Volume: 24.18 A^3/atom
Total magnetization: 0.0 μB/f.u.
Crystal system: tetragonal

Cell and atoms, written as CIF:
```
data_YErMgCu
_cell_length_a 3.479
_cell_length_b 3.479
_cell_length_c 7.993
_cell_angle_alpha 90.00
_cell_angle_beta 90.00
_cell_angle_gamma 90.00
_symmetry_space_group_name_H-M 'P 4 m m'
_symmetry_Int_Tables_number 99
loop_
_symmetry_equiv_pos_as_xyz
'x,y,z'
'-y,x,z'
'-x,-y,z'
'y,-x,z'
'-x,y,z'
'y,x,z'
'x,-y,z'
'-y,-x,z'
loop_
_atom_site_label
_atom_site_type_symbol
_atom_site_fract_x
_atom_site_fract_y
_atom_site_fract_z
Y1 Y 0.000 0.000 0.000
Er1 Er 0.000 0.000 0.422
Mg1 Mg 0.500 0.500 0.709
Cu1 Cu 0.500 0.500 0.220
```

---

Energies relative to the minimum, meV/atom: arrangement i 87; arrangement ii 0

---

Arrangement i

Density functional theory data (PBE-GGA) for a geometry-optimized Nd2ErCu structure.

Output
Volume: 28.21 A^3/atom
Total magnetization: 0.0 μB/f.u.
Crystal system: tetragonal

Cell and atoms, written as CIF:
```
data_Nd2ErCu
_cell_length_a 3.623
_cell_length_b 3.623
_cell_length_c 8.593
_cell_angle_alpha 90.00
_cell_angle_beta 90.00
_cell_angle_gamma 90.00
_symmetry_space_group_name_H-M 'P 4/m m m'
_symmetry_Int_Tables_number 123
_symmetry_space_group_name_Hall '-P 4 2'
loop_
_atom_site_label
_atom_site_type_symbol
_atom_site_fract_x
_atom_site_fract_y
_atom_site_fract_z
Nd1 Nd 0.000 0.000 0.204
Er1 Er 0.500 0.500 0.500
Cu1 Cu 0.500 0.500 0.000
```

---

Arrangement ii

Density functional theory data (PBE-GGA) for a geometry-optimized Nd2ErCu structure.

Output
Volume: 29.71 A^3/atom
Total magnetization: 0.0 μB/f.u.
Crystal system: trigonal

Cell and atoms, written as CIF:
```
data_Nd2ErCu
_cell_length_a 3.5173
_cell_length_b 3.5173
_cell_length_c 33.2743
_cell_angle_alpha 90.00
_cell_angle_beta 90.00
_cell_angle_gamma 120.00
_symmetry_space_group_name_H-M 'R -3 m'
_symmetry_Int_Tables_number 166
_symmetry_space_group_name_Hall '-R 3 2"'
loop_
_atom_site_label
_atom_site_type_symbol
_atom_site_fract_x
_atom_site_fract_y
_atom_site_fract_z
Nd1 Nd 0.0000 0.0000 0.1022
Er1 Er 0.0000 0.0000 0.0000
Cu1 Cu 0.0000 0.0000 0.5000
```

---

Energies relative to the minimum, meV/atom: arrangement i 0; arrangement ii 310

---

Arrangement i

Density functional theory data (PBE-GGA) for a geometry-optimized NdErCu2 structure.

Output
Volume: 24.65 A^3/atom
Total magnetization: 0.0 μB/f.u.
Crystal system: trigonal

Cell and atoms, written as CIF:
```
data_NdErCu2
_cell_length_a 4.1338
_cell_length_b 4.1338
_cell_length_c 19.9858
_cell_angle_alpha 90.00
_cell_angle_beta 90.00
_cell_angle_gamma 120.00
_symmetry_space_group_name_H-M 'R -3 m'
_symmetry_Int_Tables_number 166
_symmetry_space_group_name_Hall '-R 3 2"'
loop_
_atom_site_label
_atom_site_type_symbol
_atom_site_fract_x
_atom_site_fract_y
_atom_site_fract_z
Nd1 Nd 0.0000 0.0000 0.0000
Er1 Er 0.0000 0.0000 0.5000
Cu1 Cu 0.0000 0.0000 0.2426
```

---

Arrangement ii

Density functional theory data (PBE-GGA) for a geometry-optimized NdErCu2 structure.

Output
Volume: 21.79 A^3/atom
Total magnetization: 0.0 μB/f.u.
Crystal system: cubic

Cell and atoms, written as CIF:
```
data_NdErCu2
_cell_length_a 7.038
_cell_length_b 7.038
_cell_length_c 7.038
_cell_angle_alpha 90.00
_cell_angle_beta 90.00
_cell_angle_gamma 90.00
_symmetry_space_group_name_H-M 'F m -3 m'
_symmetry_Int_Tables_number 225
_symmetry_space_group_name_Hall '-F 4 2 3'
loop_
_atom_site_label
_atom_site_type_symbol
_atom_site_fract_x
_atom_site_fract_y
_atom_site_fract_z
Nd1 Nd 0.000 0.000 0.000
Er1 Er 0.000 0.000 0.500
Cu1 Cu 0.250 0.250 0.250
```

---

Energies relative to the minimum, meV/atom: arrangement i 208; arrangement ii 0